Crystalline TiCl3 at its relaxed geometry, computed with PBE-GGA.

abc: 6.0791 6.0791 6.5992
angles: 90.00 90.00 120.00
Fractional positions:
Cl 0.6505 0.0000 0.2130
Cl 0.3495 0.0000 0.7870
Ti 0.6667 0.3333 0.0000
Cl 0.0000 0.3495 0.7870
Cl 0.6505 0.6505 0.7870
Ti 0.3333 0.6667 0.0000
Cl 0.3495 0.3495 0.2130
Cl 0.0000 0.6505 0.2130

Values from the calculation:
For the total magnetic moment, the calculation gives 2.00 Bohr magnetons per cell. The value obtained for the uncorrected energy is -4.943 eV/atom. The value obtained for the formation energy without anion corrections is -36.5 kcal/mol of atoms. Its crystal system is trigonal.

---

Crystalline CeAl3Ni2 at its relaxed geometry, computed with PBE-GGA.

abc: 5.1157 6.3260 6.3260
angles: 103.65 90.00 90.00
Fractional positions:
Ce 0.2500 0.3545 0.3545
Al 0.7500 0.4706 0.0846
Al 0.7500 0.0846 0.4706
Ni 0.0000 0.7945 0.2055
Al 0.2500 0.5294 0.9154
Al 0.7500 0.0516 0.0516
Ni 0.5000 0.2055 0.7945
Ni 0.5000 0.7945 0.2055
Ni 0.0000 0.2055 0.7945
Al 0.2500 0.9154 0.5294
Ce 0.7500 0.6454 0.6454
Al 0.2500 0.9484 0.9484

Values from the calculation:
For the total magnetic moment, the calculation gives 1.62 Bohr magnetons per cell. The value obtained for the uncorrected energy is -5.363 eV/atom. As for the energy relative to the lowest polymorph listed for this composition: 34 meV per atom. Its crystal system is orthorhombic. The formation energy is -575 meV/atom.

---

Crystalline Sc2Tc at its relaxed geometry, computed with PBE-GGA.

abc: 5.7821 5.7821 7.9177
angles: 90.00 90.00 60.00
Fractional positions:
Sc 0.0000 0.0000 0.5000
Sc 0.3607 0.8197 0.7500
Sc 0.6393 0.1803 0.2500
Sc 0.0000 0.0000 0.0000
Sc 0.8197 0.3607 0.7500
Tc 0.6667 0.6667 0.4013
Sc 0.8197 0.8197 0.7500
Tc 0.3333 0.3333 0.9013
Sc 0.1803 0.1803 0.2500
Tc 0.3333 0.3333 0.5987
Sc 0.1803 0.6393 0.2500
Tc 0.6667 0.6667 0.0987

Values from the calculation:
For the total magnetic moment, the calculation gives 0.00 Bohr magnetons per cell. The value obtained for the uncorrected energy is -7.170 eV/atom. As for the energy relative to the lowest polymorph listed for this composition: 719 meV per atom. Its crystal system is hexagonal. The formation energy is 506 meV/atom.

---

Crystalline KPa2F7 at its relaxed geometry, computed with PBE-GGA.

abc: 4.1934 7.4688 7.1504
angles: 121.48 90.00 90.00
Fractional positions:
F 0.0000 0.7697 0.5394
F 0.5000 0.0530 0.7088
Pa 0.5000 0.3130 0.6259
F 0.0000 0.2303 0.4606
F 0.5000 0.3442 0.2912
Pa 0.5000 0.6870 0.3741
F 0.5000 0.6558 0.7088
F 0.5000 0.9470 0.2912
K 0.0000 0.0000 0.0000
F 0.5000 0.5000 0.0000

Values from the calculation:
For the total magnetic moment, the calculation gives 3.50 Bohr magnetons per cell. The value obtained for the uncorrected energy is -6.602 eV/atom. The value obtained for the formation energy without anion corrections is -75.7 kcal/mol of atoms. Its crystal system is orthorhombic.